## Zn2NiAgF8 (PBE+U)

Data for crystalline Zn2NiAgF8 at its relaxed geometry.

Computed properties:
Crystal system   trigonal
VASP energy   -44.2 eV/cell
Magnetization   0.2518 μB/atom

Cell: 5.1063 5.1063 7.4512 Å, 90.00 90.00 120.00°
Sites, in units of the cell vectors:
1 Zn 0.3333 0.6667 0.2474
2 Zn 0.6667 0.3333 0.7526
3 Ni 0.0000 0.0000 0.5000
4 Ag 0.0000 0.0000 0.0000
5 F 0.0034 0.2997 0.6546
6 F 0.2963 0.9966 0.6546
7 F 0.2997 0.2963 0.3454
8 F 0.3333 0.6667 0.9963
9 F 0.6667 0.3333 0.0037
10 F 0.7003 0.7037 0.6546
11 F 0.7037 0.0034 0.3454
12 F 0.9966 0.7003 0.3454